[1]
Below is a geometry-optimized TiVH structure, with properties calculated at the PBE level.

Lattice parameters (Å, degrees): 3.0324 5.6221 4.6491 58.74 89.99 74.46
Element x y z (fractional)
V  0.6696  0.9528  0.8946
V  0.9247  0.4404  0.7010
H  0.0525  0.1886  0.5573
H  0.5423  0.2046  0.0383
Ti  0.4067  0.4784  0.1771
Ti  0.1876  0.9147  0.4184

- crystal system = triclinic
- E above lowest polymorph (eV per atom) = 0.0303
- magnetic moment (μB/atom) = 0.0000

[2]
Below is a geometry-optimized Sm3YHo2Bi6 structure, with properties calculated at the PBE level.

Lattice parameters (Å, degrees): 4.5153 9.0258 10.0894 102.81 102.93 90.00
Element x y z (fractional)
Bi  0.3318  0.4206  0.6637
Bi  0.6657  0.0871  0.3314
Bi  0.9984  0.7524  0.9968
Bi  0.3343  0.9129  0.6686
Bi  0.6682  0.5794  0.3363
Bi  0.0016  0.2476  0.0032
Sm  0.1664  0.8330  0.3329
Sm  0.8336  0.1670  0.6671
Sm  0.5000  0.5000  0.0000
Ho  0.8333  0.6669  0.6666
Ho  0.1667  0.3331  0.3334
Y  0.5000  0.0000  0.0000

- crystal system = monoclinic
- calculated formation energy (kcal/mol of atoms) = -20.536
- magnetic moment (μB/atom) = 0.0000

Which value of magnetic moment does entry 2 give?
0.0000 μB/atom